DFT (PBE) results for an optimized crystal structure of VCuTeRu2.

```
data_VCuTeRu2
_chemical_formula_sum 'V1 Cu1 Te1 Ru2'
_symmetry_space_group_name_H-M 'P 4/m m m'
_symmetry_Int_Tables_number 123
_symmetry_space_group_name_Hall '-P 4 2'
_cell_length_a 4.5238
_cell_length_b 4.5238
_cell_length_c 4.6103
_cell_angle_alpha 90.00
_cell_angle_beta 90.00
_cell_angle_gamma 90.00
loop_
_atom_site_label
_atom_site_type_symbol
_atom_site_fract_x
_atom_site_fract_y
_atom_site_fract_z
V1 V 0.0000 0.0000 0.0000
Cu1 Cu 0.5000 0.5000 0.5000
Te1 Te 0.5000 0.5000 0.0000
Ru1 Ru 0.0000 0.5000 0.5000
```

Summary:
The calculation puts the density of states at the Fermi level at 12.0 states/eV per cell. The calculation puts the magnetization at 0.50 μB per formula unit. The total energy comes out at -5.41 eV per atom.